DFT (PBE-GGA) results for an optimized crystal structure of CsAg4Te3.

Values from the calculation:
For the uncorrected formation energy, the calculation gives -0.30 eV/atom. As for the density of states at the Fermi level: 0.50 states/eV/atom. The value obtained for the volume is 242.0 Å³/cell. As for the total energy: -24.08 eV for the cell shown. As for the crystal system: tetragonal. The symmetry is P4/mmm (123). The total magnetization is 0.000 μB/atom.

Cell and atoms, written as extended XYZ:
```
8
Lattice="4.6308 0.0000 0.0000 0.0000 4.6308 0.0000 0.0000 0.0000 11.2860" Properties=species:S:1:pos:R:3 pbc="T T T"
Cs 0.0000 0.0000 5.6430
Ag 0.0000 2.3154 1.8345
Ag 2.3154 0.0000 9.4515
Ag 0.0000 2.3154 9.4515
Ag 2.3154 0.0000 1.8345
Te 2.3154 2.3154 7.8356
Te 0.0000 0.0000 0.0000
Te 2.3154 2.3154 3.4504
```